[1]
HfNiGe PBE-GGA optimized geometry; DOS at the Fermi energy = 0.37 states/eV/f.u.; E = -90.33 eV/cell; formation energy = -0.744 eV/atom; space group = Pnma
1.0
-0.265 0.877 -3.762
-2.705 -5.828 -1.168
-6.658 2.862 1.137
Hf Ge Ni
4 4 4
Cartesian
-8.249 -2.737 -3.046 Hf
-1.379 0.649 -0.748 Hf
-3.540 -1.918 -1.194 Hf
-6.089 -0.171 -2.599 Hf
-2.959 -3.295 -3.549 Ge
-3.393 0.387 -2.660 Ge
-6.670 1.207 -0.245 Ge
-6.235 -2.476 -1.134 Ge
-1.588 -1.264 -3.172 Ni
-8.040 -0.825 -0.622 Ni
-5.441 -3.103 -3.329 Ni
-4.188 1.014 -0.464 Ni

=====

[2]
Nd2H2Pt3 PBE-GGA optimized geometry; DOS at the Fermi energy = 2.24 states/eV/f.u.; E = -39.91 eV/cell; space group = P2/m
1.0
4.533 0.000 -0.613
0.000 3.777 0.000
0.229 0.000 7.127
H Pt Nd
2 3 2
Cartesian
1.572 0.000 0.830 H
3.190 0.000 5.684 H
3.643 0.000 3.937 Pt
0.000 0.000 0.000 Pt
1.119 0.000 2.578 Pt
1.467 1.889 5.029 Nd
3.295 1.889 1.485 Nd

=====

[3]
Sr2CdC2 PBE-GGA optimized geometry; DOS at the Fermi energy = 1.95 states/eV/f.u.; E = -44.13 eV/cell; formation energy = 0.132 eV/atom; space group = P4/mbm
1.0
-0.251 5.448 5.405
-6.461 2.769 -3.091
-2.000 -2.245 2.170
Cd Sr C
2 4 4
Cartesian
-3.356 4.109 1.157 Cd
0.000 0.000 0.000 Cd
-3.010 3.909 4.437 Sr
-2.487 1.015 1.925 Sr
-6.225 4.958 2.559 Sr
-5.702 2.063 0.046 Sr
-6.185 5.002 -0.527 C
-0.527 3.216 2.841 C
-2.859 1.545 -1.038 C
-3.853 6.673 3.351 C

=====

[4]
HfZnGaP2 PBE-GGA optimized geometry; energy above the most stable polymorph in this dataset = 0 meV per atom; DOS at the Fermi energy = 3.36 states/eV/f.u.; E = -23.18 eV/cell; formation energy = 0.379 eV/atom; space group = P4/mmm
1.0
-0.863 4.463 1.959
1.122 -1.937 4.907
4.764 1.193 -0.619
P Hf Zn Ga
2 1 1 1
Cartesian
2.382 0.596 -0.310 P
-0.431 2.232 0.980 P
0.000 0.000 0.000 Hf
2.512 1.860 3.123 Zn
0.561 -0.968 2.453 Ga

=====

[5]
NiSbTe2Pb PBE-GGA optimized geometry; energy above the most stable polymorph in this dataset = 0 meV per atom; formation energy without anion corrections = 0.5 eV/f.u.; DOS at the Fermi energy = 3.80 states/eV/f.u.; E = -19.35 eV/cell; space group = P4/mmm
1.0
5.407 0.000 0.000
0.000 5.407 0.000
0.000 0.000 4.751
Pb Ni Te Sb
1 1 2 1
Cartesian
2.703 2.703 2.375 Pb
0.000 0.000 0.000 Ni
2.703 0.000 0.000 Te
0.000 2.703 0.000 Te
0.000 0.000 2.375 Sb

=====

[6]
LaBi3Rh PBE-GGA optimized geometry; energy above the most stable polymorph in this dataset = 0 meV per atom; DOS at the Fermi energy = 3.01 states/eV/f.u.; E = -106.50 eV/cell; formation energy = -0.541 eV/atom; space group = Pbcm
1.0
6.352 0.000 0.000
0.000 6.583 0.000
0.000 0.000 13.314
Bi Rh La
12 4 4
Cartesian
4.764 2.619 12.555 Bi
1.588 0.672 12.555 Bi
3.176 4.937 6.668 Bi
0.000 4.937 6.668 Bi
4.764 0.017 10.304 Bi
3.176 1.646 6.646 Bi
4.764 5.911 0.759 Bi
4.764 3.308 3.010 Bi
0.000 1.646 6.646 Bi
1.588 6.566 3.010 Bi
1.588 3.275 10.304 Bi
1.588 3.963 0.759 Bi
3.176 1.646 1.339 Rh
0.000 1.646 1.339 Rh
3.176 4.937 11.974 Rh
0.000 4.937 11.974 Rh
1.588 3.260 4.023 La
1.588 6.551 9.291 La
4.764 3.323 9.291 La
4.764 0.031 4.023 La

=====

[7]
SmHo2Tm3Se6 PBE-GGA optimized geometry; formation energy without anion corrections = -20.5 eV/f.u.; DOS at the Fermi energy = 5.43 states/eV/f.u.; E = -68.68 eV/cell; space group = C2/m
1.0
4.034 0.000 0.000
0.000 8.162 0.250
-2.017 -2.396 8.523
Se Tm Ho Sm
6 3 2 1
Cartesian
0.000 6.037 0.191 Se
2.017 -0.146 2.942 Se
0.000 1.786 5.785 Se
0.000 5.911 5.831 Se
2.017 3.979 2.988 Se
2.017 -0.271 8.583 Se
2.017 -0.253 5.772 Tm
2.017 4.081 0.125 Tm
0.000 6.019 3.001 Tm
0.000 1.901 2.892 Ho
2.017 3.864 5.882 Ho
2.017 0.000 0.000 Sm

=====

[8]
BaHg2P PBE-GGA optimized geometry; DOS at the Fermi energy = 2.04 states/eV/f.u.; E = -8.46 eV/cell; formation energy = -0.130 eV/atom; space group = P4/mmm
1.0
4.142 0.000 0.000
0.000 4.142 0.000
0.000 0.000 6.660
Ba P Hg
1 1 2
Cartesian
2.071 2.071 4.995 Ba
2.071 2.071 1.665 P
0.000 0.000 0.241 Hg
0.000 0.000 3.088 Hg